(1)
Entry from Alexandria via LeMat-Bulk: a relaxed structure of NaMnZn2 (PBE).

volume	208	Å³ per cell
total magnetization	3.981	μB/f.u.
SG	I-42d (122)

Lattice parameters (Å, degrees): 4.7985 4.7985 9.6341 75.58 75.58 90.00
With the nearest neighbours (Å) after each atom.
Atoms (fractional coordinates):
Na (0.2500, 0.7500, 0.5000)  4 Mn 3.39, 8 Zn 3.41-3.60
Mn (0.7500, 0.2500, 0.5000)  4 Zn 2.56
Zn (0.8750, 0.0971, 0.7500)  2 Zn 2.41, 2 Mn 2.56
Zn (0.9029, 0.6250, 0.2500)  2 Zn 2.41, 2 Mn 2.56
Zn (0.3750, 0.1529, 0.7500)  2 Zn 2.41, 2 Mn 2.56
Zn (0.8471, 0.1250, 0.2500)  2 Zn 2.41, 2 Mn 2.56
Mn (0.0000, 0.0000, 0.0000)  4 Zn 2.56
Na (0.5000, 0.5000, 0.0000)  4 Mn 3.39, 8 Zn 3.41-3.60

(2)
Entry from Alexandria via LeMat-Bulk: a relaxed structure of NaMnZn2 (PBE).

volume	68	Å³ per cell
total magnetization	3.563	μB/f.u.
SG	Fm-3m (225)

Lattice parameters (Å, degrees): 4.5727 4.5727 4.5727 60.00 60.00 60.00
With the nearest neighbours (Å) after each atom.
Atoms (fractional coordinates):
Na (0.0000, 0.0000, 0.0000)  8 Zn 2.80
Zn (0.2500, 0.2500, 0.2500)  4 Mn 2.80, 4 Na 2.80
Mn (0.5000, 0.5000, 0.5000)  8 Zn 2.80
Zn (0.7500, 0.7500, 0.7500)  4 Na 2.80, 4 Mn 2.80

Which is most stable, and by how much? (2), by 257 meV/atom.

(1)
Entry from Alexandria via LeMat-Bulk: a relaxed structure of NaZrMn2 (PBE).

volume	144	Å³ per cell
total magnetization	0.000	μB/f.u.
SG	I-42d (122)

Lattice parameters (Å, degrees): 3.9391 3.9391 9.6666 78.24 78.24 90.00
With the nearest neighbours (Å) after each atom.
Atoms (fractional coordinates):
Mn (0.8750, 0.9807, 0.7500)  2 Mn 2.27
Mn (0.7307, 0.1250, 0.2500)  2 Mn 2.27
Mn (0.0193, 0.6250, 0.2500)  2 Mn 2.27
Na (0.2500, 0.7500, 0.5000)  4 Zr 2.79, 4 Mn 2.88
Zr (0.0000, 0.0000, 0.0000)  4 Mn 2.58, 4 Na 2.79
Zr (0.7500, 0.2500, 0.5000)  4 Mn 2.58, 4 Na 2.79
Na (0.5000, 0.5000, 0.0000)  4 Zr 2.79, 4 Mn 2.88
Mn (0.3750, 0.2693, 0.7500)  2 Mn 2.27

(2)
Entry from Alexandria via LeMat-Bulk: a relaxed structure of NaZrMn2 (PBE).

volume	74	Å³ per cell
total magnetization	5.651	μB/f.u.
SG	Fm-3m (225)

Lattice parameters (Å, degrees): 4.7188 4.7188 4.7188 60.00 60.00 60.00
With the nearest neighbours (Å) after each atom.
Atoms (fractional coordinates):
Mn (0.7500, 0.7500, 0.7500)  4 Zr 2.89, 4 Na 2.89
Zr (0.5000, 0.5000, 0.5000)  8 Mn 2.89
Na (0.0000, 0.0000, 0.0000)  8 Mn 2.89
Mn (0.2500, 0.2500, 0.2500)  4 Zr 2.89, 4 Na 2.89

Which is most stable, and by how much? (2), by 530 meV/atom.